MoBrCl2: PBEsol geometry, meta-GGA SCAN.

Lattice parameters (Å, degrees): 3.0654 4.5803 13.3491 90.00 90.00 90.00
Positions (direct):
Mo1 0.0000 0.0000 0.0000
Mo2 0.5000 0.5000 0.5000
Br1 0.0000 0.5000 0.6555
Br2 0.5000 0.0000 0.1555
Cl1 0.0000 0.0000 0.4990
Cl2 0.0000 0.5000 0.3553
Cl3 0.5000 0.0000 0.8553
Cl4 0.5000 0.5000 0.9990

The calculated density is 4.37 g/cm³. As for the energy above the lowest structure with this stoichiometry: 0 meV per atom. The value obtained for the magnetic moment is 4.2 μB/cell. As for the raw total energy: -17.983 eV per atom.

***

MoBrCl4: PBEsol geometry, meta-GGA SCAN.

Lattice parameters (Å, degrees): 5.5809 5.5809 5.5809 60.00 60.00 60.00
Positions (direct):
Mo1 0.0000 0.0000 0.0000
Br1 0.2500 0.2500 0.2500
Cl1 0.1230 0.6257 0.6257
Cl2 0.6257 0.1230 0.6257
Cl3 0.6257 0.6257 0.1230
Cl4 0.6257 0.6257 0.6257

The calculated density is 4.29 g/cm³. The value obtained for the magnetic moment is 4.7 μB/cell. As for the raw total energy: -13.525 eV per atom.

***

MoBr2Cl: PBEsol geometry, meta-GGA SCAN.

Lattice parameters (Å, degrees): 3.3524 3.3524 24.3503 90.00 90.00 120.00
Positions (direct):
Mo1 0.0000 0.0000 0.0000
Mo2 0.3333 0.6667 0.6667
Mo3 0.6667 0.3333 0.3333
Br1 0.0000 0.0000 0.2630
Br2 0.0000 0.0000 0.7370
Br3 0.3333 0.6667 0.4037
Br4 0.3333 0.6667 0.9296
Br5 0.6667 0.3333 0.0704
Br6 0.6667 0.3333 0.5963
Cl1 0.0000 0.0000 0.5000
Cl2 0.3333 0.6667 0.1667
Cl3 0.6667 0.3333 0.8333

The calculated density is 6.12 g/cm³. As for the energy above the lowest structure with this stoichiometry: 444 meV per atom. The value obtained for the magnetic moment is 0.0 μB/cell. As for the raw total energy: -20.476 eV per atom.

***

Mo4BrCl: PBEsol geometry, meta-GGA SCAN.

Lattice parameters (Å, degrees): 5.3134 5.3134 5.3134 60.00 60.00 60.00
Positions (direct):
Mo1 0.3818 0.3818 0.3818
Mo2 0.3818 0.3818 0.8547
Mo3 0.3818 0.8547 0.3818
Mo4 0.8547 0.3818 0.3818
Br1 0.0000 0.0000 0.0000
Cl1 0.7500 0.7500 0.7500

The calculated density is 7.81 g/cm³. The value obtained for the magnetic moment is 0.0 μB/cell. As for the raw total energy: -26.542 eV per atom.

***

MoBr3Cl: PBEsol geometry, meta-GGA SCAN.

Lattice parameters (Å, degrees): 4.9417 4.9417 4.9417 90.00 90.00 90.00
Positions (direct):
Mo1 0.0000 0.0000 0.0000
Br1 0.0000 0.0000 0.5000
Br2 0.0000 0.5000 0.0000
Br3 0.5000 0.0000 0.0000
Cl1 0.5000 0.5000 0.5000

The calculated density is 5.11 g/cm³. The value obtained for the magnetic moment is 0.0 μB/cell. As for the raw total energy: -20.285 eV per atom.

***

MoBr2Cl: PBEsol geometry, meta-GGA SCAN.

Lattice parameters (Å, degrees): 2.9856 5.8775 10.5953 90.00 90.00 90.00
Positions (direct):
Mo1 0.0000 0.0000 0.0000
Mo2 0.5000 0.5000 0.0000
Br1 0.0000 0.0000 0.5026
Br2 0.0000 0.5000 0.1917
Br3 0.5000 0.0000 0.1917
Br4 0.5000 0.5000 0.5026
Cl1 0.0000 0.5000 0.8229
Cl2 0.5000 0.0000 0.8229

The calculated density is 5.20 g/cm³. As for the energy above the lowest structure with this stoichiometry: 513 meV per atom. The value obtained for the magnetic moment is 2.8 μB/cell. As for the raw total energy: -20.406 eV per atom.

***

MoBrCl2: PBEsol geometry, meta-GGA SCAN.

Lattice parameters (Å, degrees): 2.9814 5.8714 9.8494 90.00 90.00 90.00
Positions (direct):
Mo1 0.0000 0.0000 0.0000
Mo2 0.5000 0.5000 0.0000
Br1 0.0000 0.5000 0.2057
Br2 0.5000 0.0000 0.2057
Cl1 0.0000 0.0000 0.5005
Cl2 0.0000 0.5000 0.8101
Cl3 0.5000 0.0000 0.8101
Cl4 0.5000 0.5000 0.5005

The calculated density is 4.75 g/cm³. As for the energy above the lowest structure with this stoichiometry: 497 meV per atom. The value obtained for the magnetic moment is 2.8 μB/cell. As for the raw total energy: -17.486 eV per atom.

***

MoP2BrCl: PBEsol geometry, meta-GGA SCAN.

Lattice parameters (Å, degrees): 4.7760 4.7760 4.8335 90.00 90.00 90.00
Positions (direct):
Mo1 0.0000 0.0000 0.0000
P1 0.0000 0.5000 0.5000
P2 0.5000 0.0000 0.5000
Br1 0.5000 0.5000 0.5000
Cl1 0.5000 0.5000 0.0000

The calculated density is 4.12 g/cm³. The value obtained for the magnetic moment is 3.3 μB/cell. As for the raw total energy: -14.986 eV per atom.

***

MoSeBr2Cl: PBEsol geometry, meta-GGA SCAN.

Lattice parameters (Å, degrees): 4.9716 4.9716 4.8035 90.00 90.00 90.00
Positions (direct):
Mo1 0.0000 0.0000 0.0000
Se1 0.0000 0.0000 0.5000
Br1 0.0000 0.5000 0.0000
Br2 0.5000 0.0000 0.0000
Cl1 0.5000 0.5000 0.5000

The calculated density is 5.18 g/cm³. As for the energy above the lowest structure with this stoichiometry: 0 meV per atom. The value obtained for the magnetic moment is 0.0 μB/cell. As for the raw total energy: -20.371 eV per atom.

***

MoSeBr2Cl: PBEsol geometry, meta-GGA SCAN.

Lattice parameters (Å, degrees): 5.0947 5.0947 4.9998 90.00 90.00 90.00
Positions (direct):
Mo1 0.0000 0.0000 0.0000
Se1 0.5000 0.5000 0.0000
Br1 0.0000 0.5000 0.5000
Br2 0.5000 0.0000 0.5000
Cl1 0.5000 0.5000 0.5000

The calculated density is 4.74 g/cm³. As for the energy above the lowest structure with this stoichiometry: 1066 meV per atom. The value obtained for the magnetic moment is 4.2 μB/cell. As for the raw total energy: -19.305 eV per atom.

***

SrMoBr2Cl: PBEsol geometry, meta-GGA SCAN.

Lattice parameters (Å, degrees): 6.0988 6.0988 4.3699 90.00 90.00 90.00
Positions (direct):
Sr1 0.0000 0.0000 0.0000
Mo1 0.5000 0.5000 0.0000
Br1 0.0000 0.5000 0.5000
Br2 0.5000 0.0000 0.5000
Cl1 0.5000 0.5000 0.5000

The calculated density is 3.87 g/cm³. The value obtained for the magnetic moment is 4.8 μB/cell. As for the raw total energy: -21.042 eV per atom.

***

NaBrNCl2: PBEsol geometry, meta-GGA SCAN.

Lattice parameters (Å, degrees): 4.1044 4.1044 6.1098 90.00 90.00 90.00
Positions (direct):
Na1 0.0000 0.0000 0.0000
Br1 0.5000 0.5000 0.0000
N1 0.0000 0.0000 0.5000
Cl1 0.0000 0.5000 0.5000
Cl2 0.5000 0.0000 0.5000

The calculated density is 3.03 g/cm³. The value obtained for the magnetic moment is 0.7 μB/cell. As for the raw total energy: -9.521 eV per atom.

***

> Look up the magnetic moment of the eleventh one.

4.8 μB/cell